# 1
{"formula": "KSiRu2", "functional": "PBE-GGA", "state": "relaxed", "e_form_raw_ev_per_atom": 0.3260, "space_group": "No. 99", "rho_g_cm3": 6.25, "lattice_angstrom": [[2.8312, 0.0000, 0.0000], [0.0000, 2.8312, 0.0000], [0.0000, 0.0000, 8.9301]], "species": ["K", "Si", "Ru", "Ru"], "frac_coords": [[0.0000, 0.0000, 0.0000], [0.5000, 0.5000, 0.6960], [0.0000, 0.0000, 0.5118], [0.5000, 0.5000, 0.3227]]}



# 2
{"formula": "KSiRu2", "functional": "PBE-GGA", "state": "relaxed", "e_form_raw_ev_per_atom": 0.3054, "space_group": "No. 166", "rho_g_cm3": 6.59, "lattice_angstrom": [[1.4650, 0.8458, 9.1250], [-1.4650, 0.8458, 9.1250], [0.0000, -1.6916, 9.1250]], "species": ["K", "Si", "Ru", "Ru"], "frac_coords": [[0.0000, 0.0000, 0.0000], [0.5000, 0.5000, 0.5000], [0.2301, 0.2301, 0.2301], [0.7699, 0.7699, 0.7699]]}



# 3
{"formula": "KSi2Ru", "functional": "PBE-GGA", "state": "relaxed", "e_form_raw_ev_per_atom": -0.1002, "e_above_lowest_polymorph_mev_per_atom": 0, "space_group": "No. 123", "rho_g_cm3": 4.43, "lattice_angstrom": [[2.9919, 0.0000, 0.0000], [0.0000, 2.9919, 0.0000], [0.0000, 0.0000, 8.2211]], "species": ["K", "Si", "Si", "Ru"], "frac_coords": [[0.0000, 0.0000, 0.0000], [0.5000, 0.5000, 0.3242], [0.5000, 0.5000, 0.6758], [0.0000, 0.0000, 0.5000]]}



# 4
{"formula": "KSi4Ru", "functional": "PBE-GGA", "state": "relaxed", "e_form_raw_ev_per_atom": 0.6815, "space_group": "No. 216", "rho_g_cm3": 4.15, "lattice_angstrom": [[0.0000, 3.6966, 3.6966], [3.6966, 0.0000, 3.6966], [3.6966, 3.6966, 0.0000]], "species": ["K", "Si", "Si", "Si", "Si", "Ru"], "frac_coords": [[0.0000, 0.0000, 0.0000], [0.3773, 0.3773, 0.3773], [0.3773, 0.3773, 0.8680], [0.3773, 0.8680, 0.3773], [0.8680, 0.3773, 0.3773], [0.7500, 0.7500, 0.7500]]}



# 5
{"formula": "KSiRu3", "functional": "PBE-GGA", "state": "relaxed", "e_form_raw_ev_per_atom": 2.9789, "e_above_lowest_polymorph_mev_per_atom": 2059, "space_group": "No. 221", "rho_g_cm3": 6.16, "lattice_angstrom": [[4.6386, 0.0000, 0.0000], [0.0000, 4.6386, 0.0000], [0.0000, 0.0000, 4.6386]], "species": ["K", "Si", "Ru", "Ru", "Ru"], "frac_coords": [[0.0000, 0.0000, 0.0000], [0.5000, 0.5000, 0.5000], [0.0000, 0.0000, 0.5000], [0.0000, 0.5000, 0.0000], [0.5000, 0.0000, 0.0000]]}



# 6
{"formula": "KSiTcRu2", "functional": "PBE-GGA", "state": "relaxed", "e_form_raw_ev_per_atom": 1.7757, "space_group": "No. 123", "rho_g_cm3": 5.33, "lattice_angstrom": [[4.6458, 0.0000, 0.0000], [0.0000, 4.6458, 0.0000], [0.0000, 0.0000, 5.2985]], "species": ["K", "Si", "Tc", "Ru", "Ru"], "frac_coords": [[0.0000, 0.0000, 0.0000], [0.5000, 0.5000, 0.0000], [0.0000, 0.0000, 0.5000], [0.0000, 0.5000, 0.5000], [0.5000, 0.0000, 0.5000]]}



# 7
{"formula": "KSi2TeRu", "functional": "PBE-GGA", "state": "relaxed", "e_form_raw_ev_per_atom": 2.1825, "space_group": "No. 123", "rho_g_cm3": 4.07, "lattice_angstrom": [[5.3331, 0.0000, 0.0000], [0.0000, 5.3331, 0.0000], [0.0000, 0.0000, 4.6509]], "species": ["K", "Si", "Si", "Te", "Ru"], "frac_coords": [[0.0000, 0.0000, 0.0000], [0.0000, 0.5000, 0.0000], [0.5000, 0.0000, 0.0000], [0.5000, 0.5000, 0.5000], [0.0000, 0.0000, 0.5000]]}



# 8
{"formula": "K2SiRuW", "functional": "PBE-GGA", "state": "relaxed", "e_form_raw_ev_per_atom": 1.8641, "space_group": "No. 123", "rho_g_cm3": 3.43, "lattice_angstrom": [[6.4472, 0.0000, 0.0000], [0.0000, 6.4472, 0.0000], [0.0000, 0.0000, 4.5512]], "species": ["K", "K", "Si", "Ru", "W"], "frac_coords": [[0.0000, 0.5000, 0.0000], [0.5000, 0.0000, 0.0000], [0.0000, 0.0000, 0.5000], [0.5000, 0.5000, 0.5000], [0.5000, 0.5000, 0.0000]]}



# 9
{"formula": "KSm2Ru", "functional": "PBE-GGA", "state": "relaxed", "ef_kj_per_mol_atoms": 1, "space_group": "No. 166", "rho_g_cm3": 4.56, "lattice_angstrom": [[2.0455, 1.1810, 11.0762], [-2.0455, 1.1810, 11.0762], [0.0000, -2.3619, 11.0762]], "species": ["K", "Sm", "Sm", "Ru"], "frac_coords": [[0.0000, 0.0000, 0.0000], [0.1225, 0.1225, 0.1225], [0.8775, 0.8775, 0.8775], [0.5000, 0.5000, 0.5000]]}



# 10
{"formula": "KSnRu3", "functional": "PBE-GGA", "state": "relaxed", "e_above_lowest_polymorph_mev_per_atom": 1001, "ef_kj_per_mol_atoms": 249, "space_group": "No. 221", "rho_g_cm3": 7.16, "lattice_angstrom": [[4.7457, 0.0000, 0.0000], [0.0000, 4.7457, 0.0000], [0.0000, 0.0000, 4.7457]], "species": ["K", "Sn", "Ru", "Ru", "Ru"], "frac_coords": [[0.0000, 0.0000, 0.0000], [0.5000, 0.5000, 0.5000], [0.0000, 0.0000, 0.5000], [0.0000, 0.5000, 0.0000], [0.5000, 0.0000, 0.0000]]}



# 11
{"formula": "K2Sn2Ru", "functional": "PBE-GGA", "state": "relaxed", "ef_kj_per_mol_atoms": 13, "space_group": "No. 127", "rho_g_cm3": 4.58, "lattice_angstrom": [[7.0462, 0.0000, 0.0000], [0.0000, 7.0462, 0.0000], [0.0000, 0.0000, 6.0893]], "species": ["K", "K", "K", "K", "Sn", "Sn", "Sn", "Sn", "Ru", "Ru"], "frac_coords": [[0.1737, 0.3263, 0.0000], [0.3263, 0.8263, 0.0000], [0.6737, 0.1737, 0.0000], [0.8263, 0.6737, 0.0000], [0.1662, 0.6662, 0.5000], [0.3338, 0.1662, 0.5000], [0.6662, 0.8338, 0.5000], [0.8338, 0.3338, 0.5000], [0.0000, 0.0000, 0.5000], [0.5000, 0.5000, 0.5000]]}



# 12
{"formula": "KSn2Ru2", "functional": "PBE-GGA", "state": "relaxed", "e_above_lowest_polymorph_mev_per_atom": 82, "ef_kj_per_mol_atoms": 17, "space_group": "No. 139", "rho_g_cm3": 6.93, "lattice_angstrom": [[-2.3852, 2.3852, 5.0431], [2.3852, -2.3852, 5.0431], [2.3852, 2.3852, -5.0431]], "species": ["K", "Sn", "Sn", "Ru", "Ru"], "frac_coords": [[0.0000, 0.0000, 0.0000], [0.2500, 0.7500, 0.5000], [0.7500, 0.2500, 0.5000], [0.3835, 0.3835, 0.0000], [0.6165, 0.6165, 0.0000]]}